TbDy2Sc: optimized geometry, PBE.

Properties
- ΔH_f (0 K) (eV per atom) = 0.0301
- offset from the most stable computed form (kJ/mol of atoms) = 0.0
- DFT total energy (eV per atom) = -5.011

Cell lengths 3.5071, 3.5071, 33.6460 Å; angles 90.00, 90.00, 120.00 degrees
With the nearest neighbours (Å) after each atom.
Space group R3m (No. 160, hexagonal axes)
Asymmetric unit:
Tb 0.0000 0.0000 0.0000 (multiplicity 3)  6 Tb 3.51, 6 Dy 3.55-3.56
Dy 0.0000 0.0000 0.4204 (multiplicity 3)  3 Sc 3.38, 6 Dy 3.51, 3 Tb 3.56
Dy 0.0000 0.0000 0.5800 (multiplicity 3)  3 Sc 3.35, 6 Dy 3.51, 3 Tb 3.55
Sc 0.0000 0.0000 0.8340 (multiplicity 3)  6 Dy 3.35-3.38, 6 Sc 3.51


ZrMnBe: optimized geometry, PBE.

Properties
- ΔH_f (0 K) (eV per atom) = 0.0414
- offset from the most stable computed form (kJ/mol of atoms) = 20.1
- DFT total energy (eV per atom) = -7.107

Cell lengths 3.9091, 3.9091, 3.3811 Å; angles 90.00, 90.00, 120.00 degrees
With the nearest neighbours (Å) after each atom.
Space group P-6m2 (No. 187)
Asymmetric unit:
Zr 0.0000 0.0000 0.0000 (multiplicity 1)  6 Be 2.82, 6 Mn 2.82
Mn 0.3333 0.6667 0.5000 (multiplicity 1)  3 Be 2.26
Be 0.6667 0.3333 0.5000 (multiplicity 1)  3 Mn 2.26


BaDyTm: optimized geometry, PBE.

Properties
- ΔH_f (0 K) (eV per atom) = 0.2073
- DFT total energy (eV per atom) = -3.458

Cell lengths 3.7605, 3.7605, 16.2110 Å; angles 90.00, 90.00, 90.00 degrees
With the nearest neighbours (Å) after each atom.
Space group I4mm (No. 107)
Asymmetric unit:
Ba 0.0000 0.0000 0.0000 (multiplicity 2)  4 Ba 3.76, 4 Tm 3.97, 4 Dy 3.98
Dy 0.0000 0.0000 0.6827 (multiplicity 2)  4 Tm 3.45, 4 Dy 3.76
Tm 0.0000 0.0000 0.3180 (multiplicity 2)  4 Dy 3.45, 4 Tm 3.76


Sc2AlPt: optimized geometry, PBE.

Properties
- ΔH_f (0 K) (eV per atom) = -0.7214
- DFT total energy (eV per atom) = -6.333

Cell lengths 4.0362, 4.0362, 9.0171 Å; angles 90.00, 90.00, 90.00 degrees
With the nearest neighbours (Å) after each atom.
Space group I-4m2 (No. 119)
Asymmetric unit:
Sc 0.0000 0.0000 0.0000 (multiplicity 2)  4 Pt 2.85, 4 Al 3.03, 4 Sc 3.03
Sc 0.0000 0.5000 0.2500 (multiplicity 2)  4 Al 2.85, 4 Sc 3.03, 4 Pt 3.03
Al 0.0000 0.5000 0.7500 (multiplicity 2)  8 Sc 2.85-3.03, 4 Pt 3.03
Pt 0.0000 0.0000 0.5000 (multiplicity 2)  8 Sc 2.85-3.03, 4 Al 3.03


Pm2Sm5Y: optimized geometry, PBE.

Properties
- ΔH_f (0 K) (eV per atom) = 0.1319
- offset from the most stable computed form (kJ/mol of atoms) = 0.0
- DFT total energy (eV per atom) = -4.813

Cell lengths 5.6375, 11.9915, 16.3830 Å; angles 90.00, 90.00, 90.00 degrees
With the nearest neighbours (Å) after each atom.
Space group Cmcm (No. 63)
Asymmetric unit:
Pm 0.0000 0.2230 0.1293 (multiplicity 8)  5 Sm 3.34-3.66, 2 Y 3.45
Sm 0.0000 0.0777 0.5910 (multiplicity 8)  1 Y 3.41, 6 Sm 3.52-3.72, 3 Pm 3.66-3.75
Sm 0.0000 0.3827 0.5517 (multiplicity 8)  1 Sm 3.28, 3 Pm 3.34-3.53, 1 Y 3.56
Sm 0.0000 0.4589 0.2500 (multiplicity 4)  1 Y 3.35, 2 Pm 3.45
Y 0.0000 0.2618 0.7500 (multiplicity 4)  5 Sm 3.35-3.56, 4 Pm 3.45


KRb2NaF4: optimized geometry, PBE.

Properties
- ΔE_f (raw) (eV per atom) = -2.615
- DFT total energy (eV per atom) = -4.095

Cell lengths 3.8650, 12.9894, 13.7587 Å; angles 90.00, 90.00, 90.00 degrees
With the nearest neighbours (Å) after each atom.
Space group Cmcm (No. 63)
Asymmetric unit:
K 0.0000 0.1230 0.2500 (multiplicity 4)  6 F 2.87-3.02
Rb 0.0000 0.3662 0.0427 (multiplicity 8)  5 F 2.66-2.89
Na 0.0000 0.1455 0.7500 (multiplicity 4)  4 F 2.21-2.26
F 0.0000 0.0000 0.0000 (multiplicity 4)  4 Rb 2.66
F 0.0000 0.2662 0.6367 (multiplicity 8)  1 Na 2.21
F 0.0000 0.4448 0.2500 (multiplicity 4)  2 Na 2.26


Look up the DFT total energy of the third one.
-3.458 eV per atom


Number 5 is which compound?
Pm2Sm5Y


DFT total energy of number 5 (Pm2Sm5Y)?
-4.813 eV per atom